A plane-wave DFT calculation with PBE+U was carried out for crystalline Na2V2BiO7 at its relaxed geometry.

Computed properties:
The volume comes out at 18.30 A^3/atom. The value obtained for the density of states at the Fermi level is 0.49 states/eV/atom. As for the space group: R32. Its total energy is -76.615 eV/cell. As for the crystal system: trigonal. As for the magnetization: 1.00 μB/f.u.

a b c (Å): 8.3552 8.3552 8.3552
angles (deg): 40.27 40.27 40.27
Sites, in units of the cell vectors:
Na  0.2473  0.2473  0.2473
Na  0.7527  0.7527  0.7527
V  0.0786  0.0786  0.0786
V  0.9214  0.9214  0.9214
Bi  0.5000  0.5000  0.5000
O  0.0000  0.0000  0.0000
O  0.1507  0.3672  0.7919
O  0.2081  0.6328  0.8493
O  0.3672  0.7919  0.1507
O  0.6328  0.8493  0.2081
O  0.7919  0.1507  0.3672
O  0.8493  0.2081  0.6328